1.
DFT (PBE) results for a geometry-optimized Tb12Nd6Mg structure.

Results
SG = R-3m (166)
spin magnetization = 0.00 μB per atom
formation enthalpy at 0 K = 0.130 eV per atom

Cell and atoms, written as POSCAR:
```
Tb12Nd6Mg
1.0
8.591 0.405 -1.445
-1.772 8.416 -1.445
0.313 0.405 8.706
Tb Nd Mg
12 6 1
Direct
0.411 0.833 0.412
0.412 0.411 0.833
0.833 0.412 0.411
0.000 0.262 0.738
0.000 0.738 0.262
0.738 0.000 0.262
0.588 0.589 0.167
0.167 0.588 0.589
0.262 0.000 0.738
0.589 0.167 0.588
0.262 0.738 0.000
0.738 0.262 0.000
0.134 0.135 0.408
0.135 0.408 0.134
0.865 0.592 0.866
0.592 0.866 0.865
0.408 0.134 0.135
0.866 0.865 0.592
0.000 0.000 0.000
```


2.
DFT (PBE) results for a geometry-optimized GaNi3Te structure.

Results
uncorrected formation energy = 228 kJ/mol of formula units
SG = Pm-3m (221)
spin magnetization = 0.00 μB per atom

Cell and atoms, written as POSCAR:
```
GaNi3Te
1.0
-3.816 0.289 -2.162
2.058 -0.969 -3.761
-0.723 -4.278 0.706
Ni Ga Te
3 1 1
Direct
0.500 0.000 0.000
0.000 0.500 0.000
0.000 0.000 0.500
0.000 0.000 0.000
0.500 0.500 0.500
```


What E above lowest polymorph values result from the calculations? In sequence: 0.006 0.000 eV/atom.